The following is a PBE calculation of ScAl2Si after structural relaxation, from Alexandria via LeMat-Bulk.

- Symmetry: No. 99
- Uncorrected formation energy: -0.132 eV/atom

Cell: 2.951 2.951 7.936 Å, 90.00 90.00 90.00°
Positions (direct):
Sc1 0.000 0.000 0.518
Al1 0.500 0.500 0.237
Si1 0.500 0.500 0.759
Al2 0.000 0.000 0.987



The following is a PBE calculation of Na2MoRuS after structural relaxation, from Alexandria via LeMat-Bulk.

- Symmetry: No. 123
- Uncorrected formation energy: 1.048 eV/atom

Cell: 5.586 4.285 5.586 Å, 90.00 90.00 90.00°
Positions (direct):
S1 0.000 0.500 0.000
Na1 0.000 0.000 0.500
Ru1 0.000 0.000 0.000
Mo1 0.500 0.500 0.500
Na2 0.500 0.000 0.000



The following is a PBE calculation of Cd4In2GaHg2 after structural relaxation, from Alexandria via LeMat-Bulk.

- Symmetry: No. 156
- Formation energy from the elements: 0.05 eV per atom

Cell: 3.179 3.179 24.786 Å, 90.00 90.00 120.00°
Positions (direct):
Cd1 0.667 0.333 0.873
Cd2 0.000 0.000 0.765
Hg1 0.667 0.333 0.655
Hg2 0.000 0.000 0.983
In1 0.667 0.333 0.216
In2 0.667 0.333 0.428
Cd3 0.000 0.000 0.545
Ga1 0.000 0.000 0.321
Cd4 0.667 0.333 0.092



Summary of total magnetization in μB/atom
0.00; 1.10; 0.00
(order as listed above)